First-principles (PBE with a Hubbard U) data for an optimized crystal structure of Na2MoClO3, as listed in Alexandria via LeMat-Bulk.

Calculated values
Crystal system: trigonal
Raw total energy in eV per atom: -5.33

Structure (CIF):
```
data_Na2MoClO3
_chemical_formula_sum 'Na12 Mo6 Cl6 O18'
_space_group_name_H-M_alt 'R -3 m'
_space_group_IT_number 166
_space_group_name_Hall '-R 3 2"'
_cell_length_a 6.7863
_cell_length_b 6.7863
_cell_length_c 17.9839
_cell_angle_alpha 90.00
_cell_angle_beta 90.00
_cell_angle_gamma 120.00
loop_
_atom_site_label
_atom_site_type_symbol
_atom_site_fract_x
_atom_site_fract_y
_atom_site_fract_z
Na1 Na 0.0000 0.0000 0.0000
Na2 Na 0.0000 0.5000 0.5000
Mo1 Mo 0.0000 0.0000 0.4214
Cl1 Cl 0.0000 0.0000 0.2697
O1 O 0.0271 0.5136 0.2416
```